Density functional theory data (PBE-GGA) for a relaxed structure of ReSn2AsF.

Unit cell a=4.7500 b=4.7500 c=4.4495 alpha=90.00 beta=90.00 gamma=90.00
Sites, in units of the cell vectors:
Re  0.0000  0.0000  0.0000
Sn  0.0000  0.5000  0.5000
Sn  0.5000  0.0000  0.5000
As  0.5000  0.5000  0.0000
F  0.5000  0.5000  0.5000

Calculated total energy ... -24.12 eV/cell
Total magnetization ... 2.14 μB/f.u.
Calculated density ... 8.56 Mg/m³